Record 1
The following is a PBE-GGA calculation of an optimized crystal structure of Cs2YHgI6, from the Alexandria database.

Structure (POSCAR):
```
Cs2YHgI6
1.0
0.000 6.265 6.265
6.265 0.000 6.265
6.265 6.265 0.000
Cs Y Hg I
2 1 1 6
Direct
0.250 0.250 0.250 Cs
0.750 0.750 0.750 Cs
0.000 0.000 0.000 Y
0.500 0.500 0.500 Hg
0.242 0.242 0.758 I
0.242 0.758 0.242 I
0.242 0.758 0.758 I
0.758 0.242 0.242 I
0.758 0.242 0.758 I
0.758 0.758 0.242 I
```

## Properties
Calculated density (g/cm³): 4.445
E_tot (eV for the cell shown): -29.51
DOS at the Fermi energy (states/eV per atom): 0.420
Formation energy from raw total energies (kJ/mol of formula units): -1132

Record 2
The following is a PBE-GGA calculation of an optimized crystal structure of PuNbN3, from the Alexandria database.

Structure (POSCAR):
```
PuNbN3
1.0
6.007 -1.826 0.000
6.007 1.826 0.000
-0.542 0.000 6.193
Pu Nb N
2 2 6
Direct
0.133 0.133 0.373 Pu
0.867 0.867 0.627 Pu
0.377 0.377 0.098 Nb
0.623 0.623 0.902 Nb
0.167 0.167 0.017 N
0.319 0.319 0.403 N
0.464 0.464 0.778 N
0.536 0.536 0.222 N
0.681 0.681 0.597 N
0.833 0.833 0.983 N
```

## Properties
Calculated density (g/cm³): 9.262
E_tot (eV for the cell shown): -108.13
DOS at the Fermi energy (states/eV per atom): 0.958
Formation energy from raw total energies (kJ/mol of formula units): -452

Record 3
The following is a PBE-GGA calculation of an optimized crystal structure of CaPm4Ag4, from the Alexandria database.

Structure (POSCAR):
```
CaPm4Ag4
1.0
9.797 0.000 0.000
0.000 9.797 0.000
0.000 0.000 5.876
Ca Pm Ag
2 8 8
Direct
0.250 0.250 0.250 Ca
0.750 0.750 0.750 Ca
0.091 0.664 0.148 Pm
0.164 0.909 0.648 Pm
0.336 0.591 0.648 Pm
0.409 0.836 0.148 Pm
0.591 0.164 0.852 Pm
0.664 0.409 0.352 Pm
0.836 0.091 0.352 Pm
0.909 0.336 0.852 Pm
0.018 0.613 0.646 Ag
0.113 0.982 0.146 Ag
0.387 0.518 0.146 Ag
0.482 0.887 0.646 Ag
0.518 0.113 0.354 Ag
0.613 0.482 0.854 Ag
0.887 0.018 0.854 Ag
0.982 0.387 0.354 Ag
```

## Properties
Calculated density (g/cm³): 6.193
Formation enthalpy at 0 K (meV/atom): -71
E_tot (eV for the cell shown): -66.09
DOS at the Fermi energy (states/eV per atom): 1.041

Record 4
The following is a PBE-GGA calculation of an optimized crystal structure of Ba2ScBeZn, from the Alexandria database.

Structure (POSCAR):
```
Ba2ScBeZn
1.0
6.237 0.000 0.000
0.000 6.237 0.000
0.000 0.000 4.372
Ba Sc Be Zn
2 1 1 1
Direct
0.000 0.500 0.000 Ba
0.500 0.000 0.000 Ba
0.000 0.000 0.500 Sc
0.500 0.500 0.000 Be
0.500 0.500 0.500 Zn
```

## Properties
Calculated density (g/cm³): 3.847
Formation enthalpy at 0 K (meV/atom): 462
E_tot (eV for the cell shown): -12.87
DOS at the Fermi energy (states/eV per atom): 1.484

Record 5
The following is a PBE-GGA calculation of an optimized crystal structure of Pr5Nd12Ho2, from the Alexandria database.

Structure (POSCAR):
```
Pr5Nd12Ho2
1.0
9.490 -3.648 0.000
9.490 3.648 0.000
-3.944 0.000 9.773
Pr Nd Ho
5 12 2
Direct
0.000 0.000 0.000 Pr
0.184 0.184 0.683 Pr
0.326 0.326 0.293 Pr
0.674 0.674 0.707 Pr
0.816 0.816 0.317 Pr
0.022 0.022 0.738 Nd
0.084 0.583 0.981 Nd
0.089 0.592 0.634 Nd
0.408 0.911 0.366 Nd
0.417 0.916 0.019 Nd
0.497 0.497 0.180 Nd
0.503 0.503 0.820 Nd
0.583 0.084 0.981 Nd
0.592 0.089 0.634 Nd
0.911 0.408 0.366 Nd
0.916 0.417 0.019 Nd
0.978 0.978 0.262 Nd
0.282 0.718 0.500 Ho
0.718 0.282 0.500 Ho
```

## Properties
Calculated density (g/cm³): 6.786
Energy relative to the lowest polymorph listed for this composition (meV/atom): 33
Formation enthalpy at 0 K (meV/atom): 163
E_tot (eV for the cell shown): -87.17
DOS at the Fermi energy (states/eV per atom): 1.640

Record 6
The following is a PBE-GGA calculation of an optimized crystal structure of LiPr2BiO5, from the Alexandria database.

Structure (POSCAR):
```
LiPr2BiO5
1.0
1.756 -6.916 0.000
1.756 6.916 0.000
0.000 0.000 10.374
Li Pr Bi O
2 4 2 10
Direct
0.002 0.998 0.500 Li
0.998 0.002 0.000 Li
0.376 0.624 0.684 Pr
0.389 0.611 0.297 Pr
0.611 0.389 0.797 Pr
0.624 0.376 0.184 Pr
0.313 0.687 0.991 Bi
0.687 0.313 0.491 Bi
0.006 0.994 0.303 O
0.145 0.855 0.008 O
0.197 0.803 0.639 O
0.212 0.788 0.317 O
0.471 0.529 0.077 O
0.529 0.471 0.577 O
0.788 0.212 0.817 O
0.803 0.197 0.139 O
0.855 0.145 0.508 O
0.994 0.006 0.803 O
```

## Properties
Calculated density (g/cm³): 7.613
E_tot (eV for the cell shown): -123.14
DOS at the Fermi energy (states/eV per atom): 0.000
Formation energy from raw total energies (kJ/mol of formula units): -2067

Record 7
The following is a PBE-GGA calculation of an optimized crystal structure of Na2Hg4Pd, from the Alexandria database.

Structure (POSCAR):
```
Na2Hg4Pd
1.0
-2.465 2.465 7.126
2.465 -2.465 7.126
2.465 2.465 -7.126
Na Hg Pd
2 4 1
Direct
0.244 0.244 0.000 Na
0.756 0.756 0.000 Na
0.107 0.607 0.500 Hg
0.393 0.893 0.500 Hg
0.607 0.107 0.500 Hg
0.893 0.393 0.500 Hg
0.000 0.000 0.000 Pd
```

## Properties
Calculated density (g/cm³): 9.154
Energy relative to the lowest polymorph listed for this composition (meV/atom): 0
Formation enthalpy at 0 K (meV/atom): -179
E_tot (eV for the cell shown): -10.29
DOS at the Fermi energy (states/eV per atom): 0.374

Record 8
The following is a PBE-GGA calculation of an optimized crystal structure of SmPuAuO6, from the Alexandria database.

Structure (POSCAR):
```
SmPuAuO6
1.0
5.870 0.000 0.000
-2.935 5.083 0.000
0.000 0.000 8.882
Sm Pu Au O
2 2 2 12
Direct
0.333 0.667 0.250 Sm
0.667 0.333 0.750 Sm
0.333 0.667 0.750 Pu
0.667 0.333 0.250 Pu
0.000 0.000 0.000 Au
0.000 0.000 0.500 Au
0.042 0.376 0.629 O
0.042 0.666 0.871 O
0.334 0.376 0.871 O
0.334 0.958 0.629 O
0.376 0.042 0.129 O
0.376 0.334 0.371 O
0.624 0.666 0.629 O
0.624 0.958 0.871 O
0.666 0.042 0.371 O
0.666 0.624 0.129 O
0.958 0.334 0.129 O
0.958 0.624 0.371 O
```

## Properties
Calculated density (g/cm³): 8.614
E_tot (eV for the cell shown): -138.35
DOS at the Fermi energy (states/eV per atom): 0.856
Formation energy from raw total energies (kJ/mol of formula units): -1649